Computed, not measured: KGaSbAs after structural relaxation at the PBE level of DFT.

a b c (Å): 3.0840 6.0391 6.2843
angles (deg): 64.82 89.99 89.97
Element x y z (fractional)
K: 0.0000 0.0000 0.0000
Ga: 0.5049 0.8636 0.5539
Sb: 0.5001 0.4313 0.4367
As: 0.4991 0.4980 0.9768

Properties
* raw total energy: -3.3119 eV per atom
* energy relative to the elements, uncorrected: -88 meV/atom
* DOS(E_F): 1.35 states/eV per cell
* SG: P1, No. 1
* density: 4.8 g/cm³